# 1
First-principles (PBE-GGA) data for crystalline HoErUO6 at its relaxed geometry, as listed in Alexandria via LeMat-Bulk.

Unit cell a=5.7289 b=5.7289 c=9.3454 alpha=90.00 beta=90.00 gamma=120.00
Space group P-31c (No. 163)
Asymmetric unit:
1 Ho 0.0000 0.0000 0.0000 x2
2 Er 0.3333 0.6667 0.2500 x2
3 U 0.3333 0.6667 0.7500 x2
4 O 0.0201 0.3524 0.6338 x12

Properties
* E: -8.941 eV/atom

***

# 2
First-principles (PBE-GGA) data for crystalline LaScBr2 at its relaxed geometry, as listed in Alexandria via LeMat-Bulk.

Unit cell a=7.3120 b=7.3120 c=7.3120 alpha=90.00 beta=90.00 gamma=90.00
Space group Fm-3m (No. 225)
Asymmetric unit:
1 La 0.0000 0.0000 0.0000 x4
2 Sc 0.0000 0.0000 0.5000 x4
3 Br 0.2500 0.2500 0.2500 x8

Properties
* energy relative to the lowest polymorph listed for this composition: 312 meV per atom

***

# 3
First-principles (PBE-GGA) data for crystalline SrNiMo2 at its relaxed geometry, as listed in Alexandria via LeMat-Bulk.

Unit cell a=6.5845 b=6.5845 c=6.5845 alpha=90.00 beta=90.00 gamma=90.00
Space group F-43m (No. 216)
Asymmetric unit:
1 Sr 0.0000 0.0000 0.0000 x4
2 Ni 0.2500 0.2500 0.7500 x4
3 Mo 0.0000 0.0000 0.5000 x4
4 Mo 0.2500 0.2500 0.2500 x4

Properties
* energy relative to the lowest polymorph listed for this composition: 396 meV per atom
* E_form: 0.848 eV/atom

***

# 4
First-principles (PBE-GGA) data for crystalline Th8Bi3Sb2 at its relaxed geometry, as listed in Alexandria via LeMat-Bulk.

Unit cell a=14.3696 b=9.4201 c=6.5163 alpha=90.00 beta=93.74 gamma=90.00
Space group C2/m (No. 12)
Asymmetric unit:
1 Th 0.0917 0.0000 0.3838 x4
2 Th 0.1234 0.1954 0.8966 x8
3 Th 0.1757 0.5000 0.3466 x4
4 Bi 0.0000 0.3073 0.5000 x4
5 Bi 0.0000 0.5000 0.0000 x2
6 Sb 0.2237 0.5000 0.8512 x4

Properties
* E: -6.303 eV/atom

***

# 5
First-principles (PBE-GGA) data for crystalline La2AlInRu at its relaxed geometry, as listed in Alexandria via LeMat-Bulk.

Unit cell a=5.4161 b=5.4161 c=4.8958 alpha=90.00 beta=90.00 gamma=90.00
Space group P4/mmm (No. 123)
Asymmetric unit:
1 La 0.0000 0.5000 0.0000 x2
2 Al 0.0000 0.0000 0.5000 x1
3 In 0.5000 0.5000 0.5000 x1
4 Ru 0.0000 0.0000 0.0000 x1

Properties
* E_form: -0.342 eV/atom

***

# 6
First-principles (PBE-GGA) data for crystalline CePuZn2 at its relaxed geometry, as listed in Alexandria via LeMat-Bulk.

Unit cell a=4.1757 b=4.3812 c=9.4135 alpha=90.00 beta=90.00 gamma=90.00
Space group Imm2 (No. 44)
Asymmetric unit:
1 Ce 0.0000 0.0000 0.0000 x2
2 Pu 0.0000 0.5000 0.1817 x2
3 Zn 0.0000 0.0000 0.4266 x2
4 Zn 0.0000 0.5000 0.7487 x2

Properties
* energy relative to the lowest polymorph listed for this composition: 0 meV per atom
* E_form: -0.166 eV/atom

***

# 7
First-principles (PBE-GGA) data for crystalline CrBSBr2 at its relaxed geometry, as listed in Alexandria via LeMat-Bulk.

Unit cell a=5.2274 b=5.2274 c=4.4154 alpha=90.00 beta=90.00 gamma=90.00
Space group P4/mmm (No. 123)
Asymmetric unit:
1 Cr 0.0000 0.0000 0.0000 x1
2 B 0.5000 0.5000 0.5000 x1
3 S 0.0000 0.0000 0.5000 x1
4 Br 0.0000 0.5000 0.0000 x2

Properties
* E: -4.054 eV/atom

***

# 8
First-principles (PBE-GGA) data for crystalline TbCeSbAs at its relaxed geometry, as listed in Alexandria via LeMat-Bulk.

Unit cell a=4.2982 b=4.2982 c=21.2616 alpha=90.00 beta=90.00 gamma=120.00
Space group R3m (No. 160, hexagonal axes)
Asymmetric unit:
1 Tb 0.0000 0.0000 0.0000 x3
2 Ce 0.0000 0.0000 0.5116 x3
3 Sb 0.0000 0.0000 0.7544 x3
4 As 0.0000 0.0000 0.2570 x3

Properties
* E: -6.111 eV/atom

***

no.,DOS at the Fermi energy (states/eV/f.u.),spin magnetization (μB per cell)
1,0.00,0.000
2,1.70,0.000
3,4.21,0.008
4,16.52,0.000
5,5.67,0.000
6,6.33,13.146
7,2.35,3.000
8,5.86,2.143